1.
The following is a PBE-GGA calculation of a relaxed ZnAu2Br crystal, from the Alexandria database.

Cell and atoms, written as POSCAR:
```
ZnAu2Br
1.0
3.450 -0.073 0.000
-1.848 2.914 0.000
0.000 0.000 8.546
Au Br Zn
2 1 1
Cartesian
0.000 0.000 8.372
0.000 0.000 4.447
0.801 1.421 2.137
0.801 1.421 6.410
```

Properties
- uncorrected formation energy (eV/atom) = 0.096

=====

2.
The following is a PBE-GGA calculation of a relaxed Zn2AuBr crystal, from the Alexandria database.

Cell and atoms, written as POSCAR:
```
Zn2AuBr
1.0
-4.839 0.109 -1.231
0.753 -4.894 0.655
-0.764 0.288 3.029
Au Br Zn
1 1 2
Cartesian
-2.802 0.198 0.899
-0.005 -2.303 1.842
0.000 0.000 0.000
-2.043 -2.393 -0.288
```

Properties
- uncorrected formation energy (eV/atom) = 0.106

=====

3.
The following is a PBE-GGA calculation of a relaxed ZnAuBr2 crystal, from the Alexandria database.

Cell and atoms, written as POSCAR:
```
ZnAuBr2
1.0
-0.447 -8.102 6.304
-0.385 -9.769 3.163
2.658 -8.746 4.693
Zn Au Br
1 1 2
Cartesian
0.913 -13.308 7.080
0.000 0.000 0.000
1.617 -23.571 12.540
0.209 -3.045 1.620
```

Properties
- uncorrected formation energy (eV/atom) = -0.134

=====

4.
The following is a PBE-GGA calculation of a relaxed Zn2AuBr crystal, from the Alexandria database.

Cell and atoms, written as POSCAR:
```
Zn2AuBr
1.0
7.456 0.019 -0.005
5.704 4.801 0.005
-6.565 -2.450 2.546
Au Br Zn
1 1 2
Cartesian
7.084 2.595 0.000
3.207 2.508 1.276
0.048 0.018 0.000
2.835 -0.340 1.270
```

Properties
- uncorrected formation energy (eV/atom) = -0.131

=====

| no. | V (Å³ per cell) |
| --- | --- |
| 1 | 84.8 |
| 2 | 76.7 |
| 3 | 110.3 |
| 4 | 90.9 |